1.
# CoCu2Pt6, optimized geometry, DFT GGA-PBE
# D(E_F)   9.80 states/eV per cell
# Symmetry   No. 12
# E_tot   -5.716 eV/atom
# Crystal system   monoclinic
# DFT formation energy   11 meV per atom
data_CoCu2Pt6
_cell_length_a 2.726
_cell_length_b 7.292
_cell_length_c 7.859
_cell_angle_alpha 117.64
_cell_angle_beta 100.10
_cell_angle_gamma 90.00
_symmetry_space_group_name_H-M 'P 1'
_symmetry_Int_Tables_number 1
loop_
_symmetry_equiv_pos_as_xyz
'x,y,z'
loop_
_atom_site_label
_atom_site_type_symbol
_atom_site_fract_x
_atom_site_fract_y
_atom_site_fract_z
_atom_site_occupancy
Co1 Co 0.000 0.000 0.000 1
Cu1 Cu 0.667 0.667 0.333 1
Cu2 Cu 0.333 0.333 0.667 1
Pt1 Pt 0.166 0.356 0.332 1
Pt2 Pt 0.834 0.024 0.668 1
Pt3 Pt 0.834 0.644 0.668 1
Pt4 Pt 0.500 0.306 0.000 1
Pt5 Pt 0.166 0.976 0.332 1
Pt6 Pt 0.500 0.694 0.000 1

2.
# KCaCl2, optimized geometry, DFT GGA-PBE
# Energy relative to the elements, uncorrected   -156.97 kJ per mole of atoms
# D(E_F)   1.65 states/eV per cell
# Symmetry   No. 65
# E_tot   -3.325 eV/atom
# Crystal system   orthorhombic
data_KCaCl2
_cell_length_a 4.894
_cell_length_b 4.894
_cell_length_c 8.742
_cell_angle_alpha 90.00
_cell_angle_beta 90.00
_cell_angle_gamma 131.72
_symmetry_space_group_name_H-M 'P 1'
_symmetry_Int_Tables_number 1
loop_
_symmetry_equiv_pos_as_xyz
'x,y,z'
loop_
_atom_site_label
_atom_site_type_symbol
_atom_site_fract_x
_atom_site_fract_y
_atom_site_fract_z
_atom_site_occupancy
Ca1 Ca 0.500 0.500 0.750 1
K1 K 0.500 0.500 0.250 1
Cl1 Cl 0.000 0.000 0.967 1
Cl2 Cl 0.000 0.000 0.533 1

3.
# ZrRh, optimized geometry, DFT GGA-PBE
# D(E_F)   4.07 states/eV per cell
# Symmetry   No. 216
# E_tot   -7.646 eV/atom
# Crystal system   cubic
# DFT formation energy   303 meV per atom
data_ZrRh
_cell_length_a 4.198
_cell_length_b 4.198
_cell_length_c 4.198
_cell_angle_alpha 60.00
_cell_angle_beta 60.00
_cell_angle_gamma 60.00
_symmetry_space_group_name_H-M 'P 1'
_symmetry_Int_Tables_number 1
loop_
_symmetry_equiv_pos_as_xyz
'x,y,z'
loop_
_atom_site_label
_atom_site_type_symbol
_atom_site_fract_x
_atom_site_fract_y
_atom_site_fract_z
_atom_site_occupancy
Rh1 Rh 0.000 0.000 0.000 1
Zr1 Zr 0.250 0.250 0.250 1

4.
# TaZn2W, optimized geometry, DFT GGA-PBE
# D(E_F)   2.59 states/eV per cell
# Symmetry   No. 25
# E_tot   -6.585 eV/atom
# Crystal system   orthorhombic
# DFT formation energy   253 meV per atom
data_TaZn2W
_cell_length_a 2.703
_cell_length_b 4.241
_cell_length_c 5.634
_cell_angle_alpha 90.00
_cell_angle_beta 90.00
_cell_angle_gamma 90.00
_symmetry_space_group_name_H-M 'P 1'
_symmetry_Int_Tables_number 1
loop_
_symmetry_equiv_pos_as_xyz
'x,y,z'
loop_
_atom_site_label
_atom_site_type_symbol
_atom_site_fract_x
_atom_site_fract_y
_atom_site_fract_z
_atom_site_occupancy
Ta1 Ta 0.000 0.000 0.506 1
W1 W 0.500 0.500 0.748 1
Zn1 Zn 0.000 0.000 0.003 1
Zn2 Zn 0.500 0.500 0.242 1

5.
# Sr2PtSe, optimized geometry, DFT GGA-PBE
# Energy relative to the elements, uncorrected   -128.19 kJ per mole of atoms
# D(E_F)   0.00 states/eV per cell
# Symmetry   No. 123
# E_tot   -4.551 eV/atom
# Crystal system   tetragonal
data_Sr2PtSe
_cell_length_a 4.407
_cell_length_b 4.409
_cell_length_c 6.241
_cell_angle_alpha 90.00
_cell_angle_beta 90.00
_cell_angle_gamma 90.00
_symmetry_space_group_name_H-M 'P 1'
_symmetry_Int_Tables_number 1
loop_
_symmetry_equiv_pos_as_xyz
'x,y,z'
loop_
_atom_site_label
_atom_site_type_symbol
_atom_site_fract_x
_atom_site_fract_y
_atom_site_fract_z
_atom_site_occupancy
Pt1 Pt 0.000 0.000 0.375 1
Se1 Se 0.500 0.500 0.875 1
Sr1 Sr 0.000 0.000 0.875 1
Sr2 Sr 0.500 0.500 0.375 1

6.
# AlHg3H, optimized geometry, DFT GGA-PBE
# D(E_F)   2.14 states/eV per cell
# Symmetry   No. 221
# E_tot   -1.132 eV/atom
# Crystal system   cubic
data_AlHg3H
_cell_length_a 4.664
_cell_length_b 4.664
_cell_length_c 4.664
_cell_angle_alpha 90.00
_cell_angle_beta 90.00
_cell_angle_gamma 90.00
_symmetry_space_group_name_H-M 'P 1'
_symmetry_Int_Tables_number 1
loop_
_symmetry_equiv_pos_as_xyz
'x,y,z'
loop_
_atom_site_label
_atom_site_type_symbol
_atom_site_fract_x
_atom_site_fract_y
_atom_site_fract_z
_atom_site_occupancy
H1 H 0.000 0.000 0.000 1
Hg1 Hg 0.000 0.500 0.000 1
Hg2 Hg 0.000 0.000 0.500 1
Hg3 Hg 0.500 0.000 0.000 1
Al1 Al 0.500 0.500 0.500 1

7.
# ScTaMo, optimized geometry, DFT GGA-PBE
# D(E_F)   11.37 states/eV per cell
# Symmetry   No. 8
# E_tot   -9.626 eV/atom
# Crystal system   monoclinic
# DFT formation energy   45 meV per atom
data_ScTaMo
_cell_length_a 5.857
_cell_length_b 4.626
_cell_length_c 9.945
_cell_angle_alpha 90.00
_cell_angle_beta 124.31
_cell_angle_gamma 90.00
_symmetry_space_group_name_H-M 'P 1'
_symmetry_Int_Tables_number 1
loop_
_symmetry_equiv_pos_as_xyz
'x,y,z'
loop_
_atom_site_label
_atom_site_type_symbol
_atom_site_fract_x
_atom_site_fract_y
_atom_site_fract_z
_atom_site_occupancy
Sc1 Sc 0.102 0.000 0.134 1
Sc2 Sc 0.102 0.500 0.634 1
Sc3 Sc 0.936 0.000 0.788 1
Sc4 Sc 0.936 0.500 0.288 1
Ta1 Ta 0.479 0.000 0.833 1
Ta2 Ta 0.479 0.500 0.333 1
Ta3 Ta 0.308 0.000 0.490 1
Ta4 Ta 0.308 0.500 0.990 1
Mo1 Mo 0.763 0.000 0.445 1
Mo2 Mo 0.763 0.500 0.945 1
Mo3 Mo 0.593 0.000 0.138 1
Mo4 Mo 0.593 0.500 0.638 1

8.
# LaEuPdAu, optimized geometry, DFT GGA-PBE
# D(E_F)   8.86 states/eV per cell
# Symmetry   No. 216
# E_tot   -6.671 eV/atom
# Crystal system   cubic
# DFT formation energy   -753 meV per atom
data_LaEuPdAu
_cell_length_a 5.240
_cell_length_b 5.240
_cell_length_c 5.240
_cell_angle_alpha 60.00
_cell_angle_beta 60.00
_cell_angle_gamma 60.00
_symmetry_space_group_name_H-M 'P 1'
_symmetry_Int_Tables_number 1
loop_
_symmetry_equiv_pos_as_xyz
'x,y,z'
loop_
_atom_site_label
_atom_site_type_symbol
_atom_site_fract_x
_atom_site_fract_y
_atom_site_fract_z
_atom_site_occupancy
Eu1 Eu 0.250 0.250 0.250 1
Au1 Au 0.000 0.000 0.000 1
Pd1 Pd 0.500 0.500 0.500 1
La1 La 0.750 0.750 0.750 1

9.
# ScMn, optimized geometry, DFT GGA-PBE
# D(E_F)   4.41 states/eV per cell
# Symmetry   No. 225
# E_tot   -7.081 eV/atom
# Crystal system   cubic
# DFT formation energy   670 meV per atom
data_ScMn
_cell_length_a 3.834
_cell_length_b 3.834
_cell_length_c 3.834
_cell_angle_alpha 60.00
_cell_angle_beta 60.00
_cell_angle_gamma 60.00
_symmetry_space_group_name_H-M 'P 1'
_symmetry_Int_Tables_number 1
loop_
_symmetry_equiv_pos_as_xyz
'x,y,z'
loop_
_atom_site_label
_atom_site_type_symbol
_atom_site_fract_x
_atom_site_fract_y
_atom_site_fract_z
_atom_site_occupancy
Mn1 Mn 0.000 0.000 0.000 1
Sc1 Sc 0.500 0.500 0.500 1

10.
# Ta2PCl, optimized geometry, DFT GGA-PBE
# Energy relative to the elements, uncorrected   -30.97 kJ per mole of atoms
# D(E_F)   2.01 states/eV per cell
# Symmetry   No. 25
# E_tot   -8.061 eV/atom
# Crystal system   orthorhombic
data_Ta2PCl
_cell_length_a 3.153
_cell_length_b 3.349
_cell_length_c 7.785
_cell_angle_alpha 90.00
_cell_angle_beta 90.00
_cell_angle_gamma 90.00
_symmetry_space_group_name_H-M 'P 1'
_symmetry_Int_Tables_number 1
loop_
_symmetry_equiv_pos_as_xyz
'x,y,z'
loop_
_atom_site_label
_atom_site_type_symbol
_atom_site_fract_x
_atom_site_fract_y
_atom_site_fract_z
_atom_site_occupancy
Cl1 Cl 0.000 0.000 0.440 1
P1 P 0.500 0.500 0.864 1
Ta1 Ta 0.000 0.000 0.980 1
Ta2 Ta 0.500 0.500 0.215 1

11.
# Dy2Mg3Ga4, optimized geometry, DFT GGA-PBE
# D(E_F)   10.56 states/eV per cell
# Symmetry   No. 64
# E_tot   -3.254 eV/atom
# Crystal system   orthorhombic
# DFT formation energy   -354 meV per atom
data_Dy2Mg3Ga4
_cell_length_a 6.037
_cell_length_b 7.656
_cell_length_c 8.790
_cell_angle_alpha 90.00
_cell_angle_beta 110.08
_cell_angle_gamma 90.00
_symmetry_space_group_name_H-M 'P 1'
_symmetry_Int_Tables_number 1
loop_
_symmetry_equiv_pos_as_xyz
'x,y,z'
loop_
_atom_site_label
_atom_site_type_symbol
_atom_site_fract_x
_atom_site_fract_y
_atom_site_fract_z
_atom_site_occupancy
Dy1 Dy 0.097 0.598 0.194 1
Dy2 Dy 0.903 0.402 0.806 1
Dy3 Dy 0.403 0.098 0.806 1
Dy4 Dy 0.597 0.902 0.194 1
Mg1 Mg 0.000 0.000 0.000 1
Mg2 Mg 0.500 0.500 0.000 1
Mg3 Mg 0.515 0.750 0.530 1
Mg4 Mg 0.985 0.250 0.470 1
Mg5 Mg 0.485 0.250 0.470 1
Mg6 Mg 0.015 0.750 0.530 1
Ga1 Ga 0.684 0.750 0.867 1
Ga2 Ga 0.816 0.250 0.133 1
Ga3 Ga 0.316 0.250 0.133 1
Ga4 Ga 0.184 0.750 0.867 1
Ga5 Ga 0.165 0.977 0.329 1
Ga6 Ga 0.835 0.023 0.671 1
Ga7 Ga 0.335 0.477 0.671 1
Ga8 Ga 0.665 0.523 0.329 1

12.
# Tl2NiRu, optimized geometry, DFT GGA-PBE
# D(E_F)   5.44 states/eV per cell
# Symmetry   No. 99
# E_tot   -4.521 eV/atom
# Crystal system   tetragonal
# DFT formation energy   427 meV per atom
data_Tl2NiRu
_cell_length_a 3.188
_cell_length_b 3.188
_cell_length_c 7.821
_cell_angle_alpha 90.00
_cell_angle_beta 90.00
_cell_angle_gamma 90.00
_symmetry_space_group_name_H-M 'P 1'
_symmetry_Int_Tables_number 1
loop_
_symmetry_equiv_pos_as_xyz
'x,y,z'
loop_
_atom_site_label
_atom_site_type_symbol
_atom_site_fract_x
_atom_site_fract_y
_atom_site_fract_z
_atom_site_occupancy
Ni1 Ni 0.000 0.000 0.555 1
Ru1 Ru 0.500 0.500 0.692 1
Tl1 Tl 0.000 0.000 0.944 1
Tl2 Tl 0.500 0.500 0.309 1

13.
# Ce5GaSb3, optimized geometry, DFT GGA-PBE
# Energy relative to the elements, uncorrected   -82.40 kJ per mole of atoms
# D(E_F)   45.27 states/eV per cell
# Symmetry   No. 193
# E_tot   -5.861 eV/atom
# Crystal system   hexagonal
data_Ce5GaSb3
_cell_length_a 6.380
_cell_length_b 9.447
_cell_length_c 9.447
_cell_angle_alpha 120.00
_cell_angle_beta 90.00
_cell_angle_gamma 90.00
_symmetry_space_group_name_H-M 'P 1'
_symmetry_Int_Tables_number 1
loop_
_symmetry_equiv_pos_as_xyz
'x,y,z'
loop_
_atom_site_label
_atom_site_type_symbol
_atom_site_fract_x
_atom_site_fract_y
_atom_site_fract_z
_atom_site_occupancy
Ce1 Ce 0.000 0.667 0.333 1
Ce2 Ce 0.500 0.333 0.667 1
Ce3 Ce 0.000 0.333 0.667 1
Ce4 Ce 0.500 0.667 0.333 1
Ce5 Ce 0.750 0.731 0.731 1
Ce6 Ce 0.750 0.000 0.269 1
Ce7 Ce 0.750 0.269 0.000 1
Ce8 Ce 0.250 0.269 0.269 1
Ce9 Ce 0.250 0.000 0.731 1
Ce10 Ce 0.250 0.731 0.000 1
Ga1 Ga 0.000 0.000 0.000 1
Ga2 Ga 0.500 0.000 0.000 1
Sb1 Sb 0.750 0.379 0.379 1
Sb2 Sb 0.750 0.000 0.621 1
Sb3 Sb 0.750 0.621 0.000 1
Sb4 Sb 0.250 0.621 0.621 1
Sb5 Sb 0.250 0.000 0.379 1
Sb6 Sb 0.250 0.379 0.000 1